Record 1
3
Lattice="-0.930 0.407 4.672 3.466 -0.763 3.203 1.805 3.662 2.487" Properties=species:S:1:pos:R:3 comment="GGA-PBE YTmIr, relaxed" sg="No. 216" formation_energy_kj_per_mol_atoms=-69 relative_energy_mev_per_atom=19 dos_at_fermi_per_ev_atom=1.02 pbc="T T T"
Y 0.000 0.000 0.000
Ir 1.085 0.826 2.590
Tm 2.171 1.653 5.181



Record 2
10
Lattice="-1.434 4.006 0.982 0.048 -1.278 5.284 9.660 4.264 -3.285" Properties=species:S:1:pos:R:3 comment="GGA-PBE YTm2Ir2, relaxed" sg="No. 11" formation_energy_kj_per_mol_atoms=-74 relative_energy_mev_per_atom=53 dos_at_fermi_per_ev_atom=0.44 pbc="T T T"
Y 1.720 0.867 3.829
Y 6.553 6.125 -0.850
Tm 8.213 3.778 1.439
Tm 0.060 3.214 1.541
Tm 4.776 2.905 -0.020
Tm 3.497 4.087 3.000
Ir 5.867 2.622 2.731
Ir 2.406 4.371 0.249
Ir 9.078 4.752 -1.269
Ir -0.805 2.240 4.249



Record 3
4
Lattice="3.430 0.000 0.000 0.000 3.430 0.000 0.000 0.000 8.804" Properties=species:S:1:pos:R:3 comment="GGA-PBE YTm2Ir, relaxed" sg="No. 123" formation_energy_kj_per_mol_atoms=-44 relative_energy_mev_per_atom=156 dos_at_fermi_per_ev_atom=1.26 pbc="T T T"
Y 1.715 1.715 4.402
Ir 1.715 1.715 0.000
Tm 0.000 0.000 7.181
Tm 0.000 0.000 1.623



Record 4
7
Lattice="1.095 3.956 -4.209 2.725 -4.975 -1.288 -5.786 -0.988 0.332" Properties=species:S:1:pos:R:3 comment="GGA-PBE YTm3Ir3, relaxed" sg="No. 166" formation_energy_kj_per_mol_atoms=-75 dos_at_fermi_per_ev_atom=0.94 pbc="T T T"
Y 1.371 -2.502 -0.648
Tm 0.557 1.959 -2.108
Tm -0.974 -1.022 -2.589
Tm -2.881 -0.511 0.162
Ir 1.920 -0.527 -2.754
Ir -2.335 1.466 -1.943
Ir -1.521 -3.000 -0.482



Record 5
12
Lattice="-0.286 -1.303 4.254 5.804 -9.163 -2.416 5.824 2.546 -1.165" Properties=species:S:1:pos:R:3 comment="GGA-PBE YTmIr, relaxed" sg="No. 12" formation_energy_kj_per_mol_atoms=-67 relative_energy_mev_per_atom=36 dos_at_fermi_per_ev_atom=0.72 pbc="T T T"
Y 8.397 -5.040 1.357
Y 5.475 -7.931 0.275
Y 5.867 0.011 0.398
Y 2.946 -2.880 -0.684
Tm 5.357 -3.093 1.749
Tm 1.896 0.261 0.207
Tm 5.985 -4.827 -1.076
Tm 9.446 -8.181 0.466
Ir 4.124 -5.501 0.929
Ir 8.554 -6.301 -1.355
Ir 7.218 -2.419 -0.256
Ir 2.788 -1.619 2.028



Record 6
8
Lattice="-1.682 -2.056 -2.821 0.224 -3.642 5.182 -8.170 3.157 2.571" Properties=species:S:1:pos:R:3 comment="GGA-PBE Y2TmIr, relaxed" sg="No. 63" formation_energy_kj_per_mol_atoms=-53 relative_energy_mev_per_atom=39 dos_at_fermi_per_ev_atom=1.05 pbc="T T T"
Y -5.070 -1.570 4.168
Y -4.558 -0.972 0.764
Y -8.072 -0.410 5.112
Y -1.556 -2.132 -0.180
Tm -3.406 -4.193 2.426
Tm -6.222 1.651 2.507
Ir -7.270 -0.937 2.355
Ir -2.359 -1.605 2.577



Record 7
10
Lattice="3.314 0.000 0.000 0.000 3.314 0.000 0.000 0.000 17.718" Properties=species:S:1:pos:R:3 comment="GGA-PBE YTm4Ir5, relaxed" sg="No. 123" formation_energy_kj_per_mol_atoms=-85 dos_at_fermi_per_ev_atom=0.22 pbc="T T T"
Y 0.000 0.000 0.000
Tm 0.000 0.000 3.578
Tm 0.000 0.000 7.099
Tm 0.000 0.000 10.619
Tm 0.000 0.000 14.140
Ir 1.657 1.657 1.840
Ir 1.657 1.657 5.344
Ir 1.657 1.657 8.859
Ir 1.657 1.657 12.375
Ir 1.657 1.657 15.878



Record 8
18
Lattice="-5.237 -4.767 4.264 2.554 -4.389 -6.523 6.373 2.203 4.782" Properties=species:S:1:pos:R:3 comment="GGA-PBE Tm6Zn2Ir, relaxed" sg="No. 71" formation_energy_kj_per_mol_atoms=-36 relative_energy_mev_per_atom=0 dos_at_fermi_per_ev_atom=0.88 pbc="T T T"
Tm 4.162 -4.219 1.513
Tm -0.473 -2.734 1.011
Tm 5.505 0.361 2.643
Tm -1.815 -7.315 -0.119
Tm 1.135 -5.897 1.277
Tm 2.555 -1.056 1.247
Tm 6.800 -2.096 0.419
Tm -3.110 -4.858 2.105
Tm 1.508 -3.712 3.716
Tm 2.182 -3.242 -1.193
Tm 5.265 -3.997 -1.794
Tm -1.575 -2.957 4.317
Zn 3.877 -2.093 3.878
Zn -0.187 -4.861 -1.354
Zn 0.722 -1.630 5.749
Zn 0.414 -0.935 3.297
Ir -0.774 -5.860 3.394
Ir 0.000 0.000 0.000



Record 9
11
Lattice="4.850 0.000 0.000 0.000 6.864 0.140 -2.425 -2.777 8.193" Properties=species:S:1:pos:R:3 comment="GGA-PBE Tm8ZnIr2, relaxed" sg="No. 12" formation_energy_kj_per_mol_atoms=-45 relative_energy_mev_per_atom=0 dos_at_fermi_per_ev_atom=1.09 pbc="T T T"
Tm 0.000 1.400 6.684
Tm 2.425 5.667 2.947
Tm 2.425 3.054 4.975
Tm 2.425 -1.070 7.654
Tm 0.000 1.033 3.357
Tm 0.000 -1.580 5.385
Tm 2.425 2.688 1.648
Tm 0.000 5.157 0.678
Zn 2.425 0.000 0.000
Ir 2.425 0.294 5.169
Ir 0.000 3.793 3.164



Record 10
19
Lattice="-6.055 2.832 -0.926 -0.989 -2.238 -6.289 -3.685 -5.412 1.635" Properties=species:S:1:pos:R:3 comment="GGA-PBE Tm2Zn15Ir2, relaxed" sg="No. 166" formation_energy_kj_per_mol_atoms=-23 dos_at_fermi_per_ev_atom=0.34 pbc="T T T"
Tm -3.522 -1.582 -1.832
Tm -7.208 -3.237 -3.749
Zn -3.028 1.416 -0.463
Zn -1.843 -2.706 0.817
Zn -0.495 -1.119 -3.145
Zn -1.756 -3.141 -4.036
Zn -4.615 1.390 -2.451
Zn -4.359 -3.068 0.907
Zn -2.430 -0.797 -4.765
Zn -5.382 0.488 -0.198
Zn -2.919 -4.510 -0.618
Zn -3.934 -4.509 -3.145
Zn -5.105 -0.437 -4.410
Zn -6.437 -2.005 -0.495
Zn -6.795 -0.309 -2.436
Zn -5.625 -4.382 -1.171
Zn -4.293 -2.814 -5.086
Ir -1.188 -0.534 -0.618
Ir -9.541 -4.285 -4.963



Record 11
14
Lattice="-4.103 -0.554 1.205 -0.324 -7.320 3.247 0.052 0.252 8.010" Properties=species:S:1:pos:R:3 comment="GGA-PBE Tm3Zn9Ir2, relaxed" sg="No. 71" formation_energy_kj_per_mol_atoms=-39 dos_at_fermi_per_ev_atom=0.57 pbc="T T T"
Tm 0.000 0.000 0.000
Tm -2.920 -2.564 4.307
Tm -1.454 -5.057 8.155
Zn -0.136 -3.534 5.629
Zn -3.005 -7.326 9.545
Zn -1.369 -0.295 2.917
Zn -2.901 -5.221 10.869
Zn -1.474 -2.400 1.593
Zn -3.830 -6.606 7.066
Zn -0.544 -1.015 5.396
Zn -3.663 -3.242 9.182
Zn -0.711 -4.379 3.280
Ir -2.118 -2.425 7.103
Ir -2.256 -5.197 5.359



Record 12
12
Lattice="5.483 0.000 0.000 -2.742 4.749 0.000 0.000 0.000 8.167" Properties=species:S:1:pos:R:3 comment="GGA-PBE Tm2ZnIr3, relaxed" sg="No. 194" formation_energy_kj_per_mol_atoms=-72 dos_at_fermi_per_ev_atom=0.86 pbc="T T T"
Tm 2.742 1.583 3.577
Tm 0.000 3.166 4.591
Tm 0.000 3.166 7.660
Tm 2.742 1.583 0.507
Zn 0.000 0.000 4.084
Zn 0.000 0.000 0.000
Ir 0.000 1.611 2.042
Ir 1.395 0.806 6.125
Ir 2.742 3.138 6.125
Ir -1.346 3.943 2.042
Ir 4.088 0.806 6.125
Ir 1.346 3.943 2.042



Record 13
6
Lattice="-2.128 2.554 -3.475 -1.522 -4.071 -2.060 -5.736 0.265 3.705" Properties=species:S:1:pos:R:3 comment="GGA-PBE Tm4ZnIr, relaxed" sg="No. 123" formation_energy_kj_per_mol_atoms=-36 relative_energy_mev_per_atom=154 dos_at_fermi_per_ev_atom=1.35 pbc="T T T"
Tm -4.073 -2.710 -2.833
Tm -6.810 -2.585 -1.068
Tm -4.986 -1.826 1.700
Tm -2.248 -1.952 -0.066
Zn -7.549 -0.479 0.932
Ir -4.378 -3.924 -0.213



Record 14
10
Lattice="-3.235 -1.008 -0.870 1.001 -0.335 -3.335 4.373 -16.607 2.981" Properties=species:S:1:pos:R:3 comment="GGA-PBE Tm5Zn4Ir, relaxed" sg="No. 123" formation_energy_kj_per_mol_atoms=-47 dos_at_fermi_per_ev_atom=0.66 pbc="T T T"
Tm -0.718 -2.184 -1.831
Tm 0.182 -5.603 -1.217
Tm 1.070 -8.975 -0.612
Tm 1.958 -12.347 -0.006
Tm 2.858 -15.766 0.608
Zn 0.865 -3.285 0.590
Zn 1.741 -6.613 1.187
Zn 2.632 -9.995 1.794
Zn 3.508 -13.323 2.392
Ir 0.000 0.000 0.000



Record 15
4
Lattice="-0.413 -1.319 2.952 1.842 -2.542 -0.879 5.106 2.991 2.050" Properties=species:S:1:pos:R:3 comment="GGA-PBE TmZnIr2, relaxed" sg="No. 123" formation_energy_kj_per_mol_atoms=-50 dos_at_fermi_per_ev_atom=0.23 pbc="T T T"
Zn 0.715 -1.931 1.037
Ir 3.962 2.321 1.591
Ir 1.144 0.670 0.459
Tm 3.268 -0.435 2.062



Record 16
32
Lattice="5.420 0.000 0.000 0.000 7.299 0.000 0.000 0.000 16.150" Properties=species:S:1:pos:R:3 comment="GGA-PBE Tm3Zn3Ir2, relaxed" sg="No. 62" formation_energy_kj_per_mol_atoms=-60 dos_at_fermi_per_ev_atom=0.45 pbc="T T T"
Tm 0.609 3.388 6.321
Tm 3.319 0.262 9.828
Tm 4.811 3.912 14.396
Tm 2.101 7.037 1.753
Tm 4.811 3.912 9.828
Tm 2.101 7.037 6.321
Tm 0.609 3.388 1.753
Tm 3.319 0.262 14.396
Tm 3.512 2.443 4.037
Tm 0.802 1.207 12.112
Tm 1.908 4.856 12.112
Tm 4.618 6.093 4.037
Zn 0.769 1.281 4.037
Zn 3.479 2.369 12.112
Zn 4.651 6.019 12.112
Zn 1.941 4.930 4.037
Zn 3.240 2.379 7.614
Zn 0.530 1.271 8.535
Zn 2.180 4.921 15.689
Zn 4.890 6.028 0.460
Zn 2.180 4.921 8.535
Zn 4.890 6.028 7.614
Zn 3.240 2.379 0.460
Zn 0.530 1.271 15.689
Ir 4.754 0.882 6.190
Ir 2.044 2.768 9.960
Ir 0.666 6.417 14.265
Ir 3.377 4.532 1.885
Ir 0.666 6.417 9.960
Ir 3.377 4.532 6.190
Ir 4.754 0.882 1.885
Ir 2.044 2.768 14.265



Record 17
9
Lattice="4.882 0.000 -0.187 0.000 6.841 0.000 -2.165 -3.421 7.284" Properties=species:S:1:pos:R:3 comment="GGA-PBE Tm6Zn2Ir, relaxed" sg="No. 71" formation_energy_kj_per_mol_atoms=-24 relative_energy_mev_per_atom=130 dos_at_fermi_per_ev_atom=1.25 pbc="T T T"
Tm 0.087 1.680 2.306
Tm 2.630 -1.741 4.791
Tm 2.630 1.741 4.791
Tm 2.441 1.639 -0.094
Tm 0.087 5.161 2.306
Tm 2.441 5.203 -0.094
Zn 2.532 3.421 2.305
Zn 0.185 0.000 4.792
Ir 0.000 0.000 0.000



Record 18
6
Lattice="-3.170 0.253 -4.247 -2.816 -4.578 -1.480 -5.462 0.766 0.813" Properties=species:S:1:pos:R:3 comment="GGA-PBE TmZnIr, relaxed" sg="No. 74" formation_energy_kj_per_mol_atoms=-40 dos_at_fermi_per_ev_atom=0.78 pbc="T T T"
Tm -10.423 -2.539 -4.439
Tm -4.698 -0.762 -1.984
Zn -4.921 -3.909 -2.002
Zn -7.294 -2.192 -3.443
Ir -7.428 -0.377 -1.577
Ir -9.013 -0.250 -3.700



Record 19
3
Lattice="-3.105 -0.691 -0.884 -1.117 -0.424 4.255 -0.311 3.937 -1.984" Properties=species:S:1:pos:R:3 comment="GGA-PBE TmZnIr, relaxed" sg="No. 187" formation_energy_kj_per_mol_atoms=-58 dos_at_fermi_per_ev_atom=0.51 pbc="T T T"
Zn -1.366 0.914 2.028
Ir -0.517 -0.115 -0.147
Tm -2.650 2.023 -0.494



Record 20
6
Lattice="4.188 0.000 0.000 -2.094 4.875 0.000 0.000 0.000 5.483" Properties=species:S:1:pos:R:3 comment="GGA-PBE TmZnIr, relaxed" sg="No. 63" formation_energy_kj_per_mol_atoms=-69 dos_at_fermi_per_ev_atom=0.46 pbc="T T T"
Tm 0.000 2.058 4.112
Tm 2.094 2.817 1.371
Zn 2.094 0.000 2.741
Zn 2.094 0.000 0.000
Ir 0.000 0.868 1.371
Ir 2.094 4.007 4.112